Entry 1:
Below is a PBEsol-optimized structure of SrCuOs2, with properties calculated at the meta-GGA SCAN level.

space-group type = Cmmm (65)
crystal system = orthorhombic
energy of formation from the pure elements = 1.080 eV/atom
Fermi-level density of states = 3.150 states/eV/f.u.

Structure (CIF):
```
data_SrCuOs2
_space_group_name_H-M_alt 'P 1'
_space_group_IT_number 1
_cell_length_a 5.544
_cell_length_b 9.413
_cell_length_c 2.561
_cell_angle_alpha 90.00
_cell_angle_beta 90.00
_cell_angle_gamma 90.00
loop_
_space_group_symop_operation_xyz
'x,y,z'
loop_
_atom_site_label
_atom_site_fract_x
_atom_site_fract_y
_atom_site_fract_z
_atom_site_occupancy
Sr1 0.000 0.000 0.000 1
Sr2 0.500 0.500 0.000 1
Cu1 0.000 0.500 0.000 1
Cu2 0.500 0.000 0.000 1
Os1 0.250 0.250 0.500 1
Os2 0.250 0.750 0.500 1
Os3 0.750 0.250 0.500 1
Os4 0.750 0.750 0.500 1
```

Entry 2:
Below is a PBEsol-optimized structure of Re2SbMo, with properties calculated at the meta-GGA SCAN level.

space-group type = R3m (160)
crystal system = trigonal
E_form (uncorrected) = 471 meV per atom
Fermi-level density of states = 3.509 states/eV/f.u.

Structure (CIF):
```
data_Re2SbMo
_space_group_name_H-M_alt 'P 1'
_space_group_IT_number 1
_cell_length_a 2.909
_cell_length_b 2.909
_cell_length_c 26.663
_cell_angle_alpha 90.00
_cell_angle_beta 90.00
_cell_angle_gamma 120.00
loop_
_space_group_symop_operation_xyz
'x,y,z'
loop_
_atom_site_label
_atom_site_fract_x
_atom_site_fract_y
_atom_site_fract_z
_atom_site_occupancy
Re1 0.000 0.000 0.000 1
Re2 0.000 0.000 0.256 1
Re3 0.333 0.667 0.667 1
Re4 0.333 0.667 0.923 1
Re5 0.667 0.333 0.333 1
Re6 0.667 0.333 0.589 1
Sb1 0.000 0.000 0.501 1
Sb2 0.333 0.667 0.168 1
Sb3 0.667 0.333 0.835 1
Mo1 0.000 0.000 0.747 1
Mo2 0.333 0.667 0.414 1
Mo3 0.667 0.333 0.081 1
```

Entry 3:
Below is a PBEsol-optimized structure of ScWBr, with properties calculated at the meta-GGA SCAN level.

space-group type = Fmm2 (42)
crystal system = orthorhombic
E_form (uncorrected) = 358 meV per atom
Fermi-level density of states = 2.135 states/eV/f.u.

Structure (CIF):
```
data_ScWBr
_space_group_name_H-M_alt 'P 1'
_space_group_IT_number 1
_cell_length_a 3.565
_cell_length_b 4.755
_cell_length_c 14.524
_cell_angle_alpha 90.00
_cell_angle_beta 90.00
_cell_angle_gamma 90.00
loop_
_space_group_symop_operation_xyz
'x,y,z'
loop_
_atom_site_label
_atom_site_fract_x
_atom_site_fract_y
_atom_site_fract_z
_atom_site_occupancy
Sc1 0.000 0.000 0.000 1
Sc2 0.000 0.500 0.500 1
Sc3 0.500 0.000 0.500 1
Sc4 0.500 0.500 0.000 1
W1 0.000 0.000 0.357 1
W2 0.000 0.500 0.857 1
W3 0.500 0.000 0.857 1
W4 0.500 0.500 0.357 1
Br1 0.000 0.000 0.635 1
Br2 0.000 0.500 0.135 1
Br3 0.500 0.000 0.135 1
Br4 0.500 0.500 0.635 1
```

Entry 4:
Below is a PBEsol-optimized structure of Ge2PbSO, with properties calculated at the meta-GGA SCAN level.

space-group type = P4/mmm (123)
crystal system = tetragonal
E_form (uncorrected) = 89 meV per atom
Fermi-level density of states = 2.310 states/eV/f.u.

Structure (CIF):
```
data_Ge2PbSO
_space_group_name_H-M_alt 'P 1'
_space_group_IT_number 1
_cell_length_a 4.320
_cell_length_b 4.320
_cell_length_c 5.354
_cell_angle_alpha 90.00
_cell_angle_beta 90.00
_cell_angle_gamma 90.00
loop_
_space_group_symop_operation_xyz
'x,y,z'
loop_
_atom_site_label
_atom_site_fract_x
_atom_site_fract_y
_atom_site_fract_z
_atom_site_occupancy
Ge1 0.000 0.500 0.000 1
Ge2 0.500 0.000 0.000 1
Pb1 0.000 0.000 0.500 1
S1 0.500 0.500 0.500 1
O1 0.000 0.000 0.000 1
```

Entry 5:
Below is a PBEsol-optimized structure of CaCdRu2, with properties calculated at the meta-GGA SCAN level.

space-group type = Cmmm (65)
crystal system = orthorhombic
energy of formation from the pure elements = 0.529 eV/atom
Fermi-level density of states = 4.154 states/eV/f.u.

Structure (CIF):
```
data_CaCdRu2
_space_group_name_H-M_alt 'P 1'
_space_group_IT_number 1
_cell_length_a 5.881
_cell_length_b 8.735
_cell_length_c 2.637
_cell_angle_alpha 90.00
_cell_angle_beta 90.00
_cell_angle_gamma 90.00
loop_
_space_group_symop_operation_xyz
'x,y,z'
loop_
_atom_site_label
_atom_site_fract_x
_atom_site_fract_y
_atom_site_fract_z
_atom_site_occupancy
Ca1 0.000 0.000 0.000 1
Ca2 0.500 0.500 0.000 1
Cd1 0.000 0.500 0.000 1
Cd2 0.500 0.000 0.000 1
Ru1 0.250 0.250 0.500 1
Ru2 0.250 0.750 0.500 1
Ru3 0.750 0.250 0.500 1
Ru4 0.750 0.750 0.500 1
```

Entry 6:
Below is a PBEsol-optimized structure of KCN2, with properties calculated at the meta-GGA SCAN level.

space-group type = R-3m (166)
crystal system = trigonal
E_form (uncorrected) = 2184 meV per atom
Fermi-level density of states = 0.928 states/eV/f.u.

Structure (CIF):
```
data_KCN2
_space_group_name_H-M_alt 'P 1'
_space_group_IT_number 1
_cell_length_a 2.604
_cell_length_b 2.604
_cell_length_c 20.202
_cell_angle_alpha 90.00
_cell_angle_beta 90.00
_cell_angle_gamma 120.00
loop_
_space_group_symop_operation_xyz
'x,y,z'
loop_
_atom_site_label
_atom_site_fract_x
_atom_site_fract_y
_atom_site_fract_z
_atom_site_occupancy
K1 0.000 0.000 0.000 1
K2 0.333 0.667 0.667 1
K3 0.667 0.333 0.333 1
C1 0.000 0.000 0.500 1
C2 0.333 0.667 0.167 1
C3 0.667 0.333 0.833 1
N1 0.000 0.000 0.123 1
N2 0.000 0.000 0.877 1
N3 0.333 0.667 0.544 1
N4 0.333 0.667 0.789 1
N5 0.667 0.333 0.211 1
N6 0.667 0.333 0.456 1
```

Entry 7:
Below is a PBEsol-optimized structure of SiAsS3, with properties calculated at the meta-GGA SCAN level.

space-group type = Pm-3m (221)
crystal system = cubic
E_form (uncorrected) = 420 meV per atom
Fermi-level density of states = 2.657 states/eV/f.u.

Structure (CIF):
```
data_SiAsS3
_space_group_name_H-M_alt 'P 1'
_space_group_IT_number 1
_cell_length_a 4.437
_cell_length_b 4.437
_cell_length_c 4.437
_cell_angle_alpha 90.00
_cell_angle_beta 90.00
_cell_angle_gamma 90.00
loop_
_space_group_symop_operation_xyz
'x,y,z'
loop_
_atom_site_label
_atom_site_fract_x
_atom_site_fract_y
_atom_site_fract_z
_atom_site_occupancy
Si1 0.000 0.000 0.000 1
As1 0.500 0.500 0.500 1
S1 0.000 0.000 0.500 1
S2 0.000 0.500 0.000 1
S3 0.500 0.000 0.000 1
```

Entry 8:
Below is a PBEsol-optimized structure of KMnSi2Os, with properties calculated at the meta-GGA SCAN level.

space-group type = P4/mmm (123)
crystal system = tetragonal
E_form (uncorrected) = 1526 meV per atom
Fermi-level density of states = 3.262 states/eV/f.u.

Structure (CIF):
```
data_KMnSi2Os
_space_group_name_H-M_alt 'P 1'
_space_group_IT_number 1
_cell_length_a 4.422
_cell_length_b 4.422
_cell_length_c 4.869
_cell_angle_alpha 90.00
_cell_angle_beta 90.00
_cell_angle_gamma 90.00
loop_
_space_group_symop_operation_xyz
'x,y,z'
loop_
_atom_site_label
_atom_site_fract_x
_atom_site_fract_y
_atom_site_fract_z
_atom_site_occupancy
K1 0.000 0.000 0.000 1
Mn1 0.000 0.000 0.500 1
Si1 0.000 0.500 0.500 1
Si2 0.500 0.000 0.500 1
Os1 0.500 0.500 0.000 1
```

Entry 9:
Below is a PBEsol-optimized structure of LiMnW2, with properties calculated at the meta-GGA SCAN level.

space-group type = I4/mmm (139)
crystal system = tetragonal
energy of formation from the pure elements = 0.481 eV/atom
Fermi-level density of states = 3.054 states/eV/f.u.

Structure (CIF):
```
data_LiMnW2
_space_group_name_H-M_alt 'P 1'
_space_group_IT_number 1
_cell_length_a 4.077
_cell_length_b 4.077
_cell_length_c 6.248
_cell_angle_alpha 90.00
_cell_angle_beta 90.00
_cell_angle_gamma 90.00
loop_
_space_group_symop_operation_xyz
'x,y,z'
loop_
_atom_site_label
_atom_site_fract_x
_atom_site_fract_y
_atom_site_fract_z
_atom_site_occupancy
Li1 0.000 0.000 0.000 1
Li2 0.500 0.500 0.500 1
Mn1 0.000 0.000 0.500 1
Mn2 0.500 0.500 0.000 1
W1 0.000 0.500 0.250 1
W2 0.000 0.500 0.750 1
W3 0.500 0.000 0.250 1
W4 0.500 0.000 0.750 1
```

Entry 10:
Below is a PBEsol-optimized structure of MnCdMo2, with properties calculated at the meta-GGA SCAN level.

space-group type = P4/mmm (123)
crystal system = tetragonal
energy of formation from the pure elements = 0.334 eV/atom
Fermi-level density of states = 2.459 states/eV/f.u.

Structure (CIF):
```
data_MnCdMo2
_space_group_name_H-M_alt 'P 1'
_space_group_IT_number 1
_cell_length_a 3.235
_cell_length_b 3.235
_cell_length_c 5.930
_cell_angle_alpha 90.00
_cell_angle_beta 90.00
_cell_angle_gamma 90.00
loop_
_space_group_symop_operation_xyz
'x,y,z'
loop_
_atom_site_label
_atom_site_fract_x
_atom_site_fract_y
_atom_site_fract_z
_atom_site_occupancy
Mn1 0.000 0.000 0.000 1
Cd1 0.000 0.000 0.500 1
Mo1 0.500 0.500 0.196 1
Mo2 0.500 0.500 0.804 1
```

Entry 11:
Below is a PBEsol-optimized structure of ZrPt2Cl, with properties calculated at the meta-GGA SCAN level.

space-group type = F-43m (216)
crystal system = cubic
E_form (uncorrected) = -535 meV per atom
Fermi-level density of states = 3.006 states/eV/f.u.

Structure (CIF):
```
data_ZrPt2Cl
_space_group_name_H-M_alt 'P 1'
_space_group_IT_number 1
_cell_length_a 6.434
_cell_length_b 6.434
_cell_length_c 6.434
_cell_angle_alpha 90.00
_cell_angle_beta 90.00
_cell_angle_gamma 90.00
loop_
_space_group_symop_operation_xyz
'x,y,z'
loop_
_atom_site_label
_atom_site_fract_x
_atom_site_fract_y
_atom_site_fract_z
_atom_site_occupancy
Zr1 0.000 0.000 0.000 1
Zr2 0.000 0.500 0.500 1
Zr3 0.500 0.000 0.500 1
Zr4 0.500 0.500 0.000 1
Pt1 0.000 0.000 0.500 1
Pt2 0.000 0.500 0.000 1
Pt3 0.250 0.250 0.250 1
Pt4 0.250 0.750 0.750 1
Pt5 0.500 0.000 0.000 1
Pt6 0.500 0.500 0.500 1
Pt7 0.750 0.250 0.750 1
Pt8 0.750 0.750 0.250 1
Cl1 0.250 0.250 0.750 1
Cl2 0.250 0.750 0.250 1
Cl3 0.750 0.250 0.250 1
Cl4 0.750 0.750 0.750 1
```

Entry 12:
Below is a PBEsol-optimized structure of Na2Tl, with properties calculated at the meta-GGA SCAN level.

space-group type = C222_1 (20)
crystal system = orthorhombic
energy of formation from the pure elements = -0.197 eV/atom
Fermi-level density of states = 0.605 states/eV/f.u.

Structure (CIF):
```
data_Na2Tl
_space_group_name_H-M_alt 'P 1'
_space_group_IT_number 1
_cell_length_a 8.176
_cell_length_b 8.176
_cell_length_c 11.548
_cell_angle_alpha 90.00
_cell_angle_beta 90.00
_cell_angle_gamma 115.38
loop_
_space_group_symop_operation_xyz
'x,y,z'
loop_
_atom_site_label
_atom_site_fract_x
_atom_site_fract_y
_atom_site_fract_z
_atom_site_occupancy
Na1 0.050 0.783 0.082 1
Na2 0.070 0.930 0.750 1
Na3 0.101 0.507 0.329 1
Na4 0.161 0.406 0.042 1
Na5 0.217 0.950 0.418 1
Na6 0.402 0.402 0.500 1
Na7 0.406 0.161 0.958 1
Na8 0.493 0.899 0.171 1
Na9 0.507 0.101 0.671 1
Na10 0.594 0.839 0.458 1
Na11 0.598 0.598 0.000 1
Na12 0.783 0.050 0.918 1
Na13 0.839 0.594 0.542 1
Na14 0.899 0.493 0.829 1
Na15 0.930 0.070 0.250 1
Na16 0.950 0.217 0.582 1
Tl1 0.233 0.665 0.617 1
Tl2 0.273 0.369 0.777 1
Tl3 0.335 0.767 0.883 1
Tl4 0.369 0.273 0.223 1
Tl5 0.631 0.727 0.723 1
Tl6 0.665 0.233 0.383 1
Tl7 0.727 0.631 0.277 1
Tl8 0.767 0.335 0.117 1
```